The following is a DFT calculation (GGA-PBEsol) of CoP3I after structural relaxation.

a b c (Å): 4.978 4.978 4.978
angles (deg): 90.00 90.00 90.00
Fractional coordinates of all 5 atoms:
1 Co 0.000 0.000 0.000
2 P 0.000 0.500 0.500
3 P 0.500 0.000 0.500
4 P 0.500 0.500 0.000
5 I 0.500 0.500 0.500

Calculated values
As for the raw total energy: -3.242 eV per atom. For the energy relative to the elements, uncorrected, the calculation gives 2.13 eV per atom.

=====

The following is a DFT calculation (GGA-PBEsol) of CoSb2PI after structural relaxation.

a b c (Å): 4.808 4.808 5.057
angles (deg): 90.00 90.00 90.00
Fractional coordinates of all 5 atoms:
1 Co 0.000 0.000 0.000
2 Sb 0.000 0.500 0.000
3 Sb 0.500 0.000 0.000
4 P 0.500 0.500 0.500
5 I 0.000 0.000 0.500

Calculated values
As for the raw total energy: -4.239 eV per atom. For the energy relative to the elements, uncorrected, the calculation gives 0.64 eV per atom.

=====

The following is a DFT calculation (GGA-PBEsol) of SrCoP2I after structural relaxation.

a b c (Å): 5.377 5.377 6.045
angles (deg): 90.00 90.00 90.00
Fractional coordinates of all 5 atoms:
1 Sr 0.000 0.000 0.000
2 Co 0.500 0.500 0.500
3 P 0.000 0.500 0.000
4 P 0.500 0.000 0.000
5 I 0.000 0.000 0.500

Calculated values
As for the raw total energy: -3.043 eV per atom. For the energy relative to the elements, uncorrected, the calculation gives 1.54 eV per atom.

=====

The following is a DFT calculation (GGA-PBEsol) of CoPd2I after structural relaxation.

a b c (Å): 6.378 6.378 6.378
angles (deg): 90.00 90.00 90.00
Fractional coordinates of all 16 atoms:
1 Co 0.000 0.000 0.000
2 Co 0.000 0.500 0.500
3 Co 0.500 0.000 0.500
4 Co 0.500 0.500 0.000
5 Pd 0.250 0.250 0.250
6 Pd 0.250 0.250 0.750
7 Pd 0.250 0.750 0.250
8 Pd 0.250 0.750 0.750
9 Pd 0.750 0.250 0.250
10 Pd 0.750 0.250 0.750
11 Pd 0.750 0.750 0.250
12 Pd 0.750 0.750 0.750
13 I 0.000 0.000 0.500
14 I 0.000 0.500 0.000
15 I 0.500 0.000 0.000
16 I 0.500 0.500 0.500

Calculated values
As for the raw total energy: -4.862 eV per atom. For the energy relative to the elements, uncorrected, the calculation gives 0.49 eV per atom.

=====

The following is a DFT calculation (GGA-PBEsol) of CoPdI3 after structural relaxation.

a b c (Å): 5.357 5.357 5.357
angles (deg): 90.00 90.00 90.00
Fractional coordinates of all 5 atoms:
1 Co 0.000 0.000 0.000
2 Pd 0.500 0.500 0.500
3 I 0.000 0.500 0.500
4 I 0.500 0.000 0.500
5 I 0.500 0.500 0.000

Calculated values
As for the raw total energy: -3.043 eV per atom. For the energy relative to the elements, uncorrected, the calculation gives 0.76 eV per atom.

=====

The following is a DFT calculation (GGA-PBEsol) of CoTePdI2 after structural relaxation.

a b c (Å): 5.220 5.220 4.708
angles (deg): 90.00 90.00 90.00
Fractional coordinates of all 5 atoms:
1 Co 0.000 0.000 0.000
2 Te 0.000 0.000 0.500
3 Pd 0.500 0.500 0.500
4 I 0.000 0.500 0.000
5 I 0.500 0.000 0.000

Calculated values
As for the raw total energy: -3.510 eV per atom. For the energy relative to the elements, uncorrected, the calculation gives 0.64 eV per atom.

=====

The following is a DFT calculation (GGA-PBEsol) of Pr7CoI12 after structural relaxation.

a b c (Å): 9.747 9.747 9.747
angles (deg): 107.47 107.47 107.47
Fractional coordinates of all 20 atoms:
1 Pr 0.000 0.000 0.000
2 Pr 0.192 0.396 0.467
3 Pr 0.396 0.467 0.192
4 Pr 0.467 0.192 0.396
5 Pr 0.533 0.808 0.604
6 Pr 0.604 0.533 0.808
7 Pr 0.808 0.604 0.533
8 Co 0.500 0.500 0.500
9 I 0.021 0.347 0.105
10 I 0.105 0.021 0.347
11 I 0.183 0.733 0.576
12 I 0.267 0.424 0.817
13 I 0.347 0.105 0.021
14 I 0.424 0.817 0.267
15 I 0.576 0.183 0.733
16 I 0.653 0.895 0.979
17 I 0.733 0.576 0.183
18 I 0.817 0.267 0.424
19 I 0.895 0.979 0.653
20 I 0.979 0.653 0.895

Calculated values
As for the raw total energy: -4.477 eV per atom. For the energy relative to the elements, uncorrected, the calculation gives -1.22 eV per atom.

=====

The following is a DFT calculation (GGA-PBEsol) of CoPt2I after structural relaxation.

a b c (Å): 6.390 6.390 6.390
angles (deg): 90.00 90.00 90.00
Fractional coordinates of all 16 atoms:
1 Co 0.000 0.000 0.000
2 Co 0.000 0.500 0.500
3 Co 0.500 0.000 0.500
4 Co 0.500 0.500 0.000
5 Pt 0.250 0.250 0.250
6 Pt 0.250 0.250 0.750
7 Pt 0.250 0.750 0.250
8 Pt 0.250 0.750 0.750
9 Pt 0.750 0.250 0.250
10 Pt 0.750 0.250 0.750
11 Pt 0.750 0.750 0.250
12 Pt 0.750 0.750 0.750
13 I 0.000 0.000 0.500
14 I 0.000 0.500 0.000
15 I 0.500 0.000 0.000
16 I 0.500 0.500 0.500

Calculated values
As for the raw total energy: -5.157 eV per atom. For the energy relative to the elements, uncorrected, the calculation gives 0.70 eV per atom.

=====

> Number 8 is which compound?

CoPt2I